The following is a PBE with a Hubbard U calculation of an optimized crystal structure of NbGaMoO6, from the Alexandria database.

* uncorrected energy: -135.43 eV per cell

```
NbGaMoO6
1.0
5.110 0.000 0.000
-2.555 4.426 0.000
0.000 0.000 9.148
Nb Ga Mo O
2 2 2 12
direct
0.333 0.667 0.250
0.667 0.333 0.750
0.333 0.667 0.750
0.667 0.333 0.250
0.000 0.000 0.000
0.000 0.000 0.500
0.000 0.335 0.131
0.000 0.335 0.631
0.000 0.665 0.369
0.000 0.665 0.869
0.335 0.000 0.131
0.335 0.000 0.631
0.335 0.335 0.369
0.335 0.335 0.869
0.665 0.000 0.369
0.665 0.000 0.869
0.665 0.665 0.131
0.665 0.665 0.631
```